ThScZnMo: optimized geometry, PBE-GGA.

a b c (Å): 6.976 6.976 6.976
angles (deg): 90.00 90.00 90.00
Positions (direct):
Th 0.000 0.000 0.000
Th 0.000 0.500 0.500
Th 0.500 0.000 0.500
Th 0.500 0.500 0.000
Sc 0.000 0.000 0.500
Sc 0.000 0.500 0.000
Sc 0.500 0.000 0.000
Sc 0.500 0.500 0.500
Zn 0.250 0.250 0.750
Zn 0.250 0.750 0.250
Zn 0.750 0.250 0.250
Zn 0.750 0.750 0.750
Mo 0.250 0.250 0.250
Mo 0.250 0.750 0.750
Mo 0.750 0.250 0.750
Mo 0.750 0.750 0.250

## Properties
**Raw total energy**: -6.4566 eV/atom
**Energy of formation from the pure elements**: 0.01 eV/atom
**Density of states at the Fermi level**: 2.9 states/eV/f.u.